Pm2AlCd: relaxed, PBE.

The calculation puts the total magnetization at 0.0 μB/cell. The total energy comes out at -3.892 eV per atom. Its energy relative to the elements is -1.4 eV per formula unit.

It has space group P4/mmm (No. 123), with a = 3.599 Å, b = 3.599 Å, c = 8.210 Å, α = 90.00°, β = 90.00° and γ = 90.00°. The inequivalent atoms are Pm at (0.000, 0.000, 0.237), Al at (0.500, 0.500, 0.000) and Cd at (0.500, 0.500, 0.500).